P:
The following is a DFT calculation (PBE) of a geometry-optimized Sb2TeAuBr structure.

The calculation puts the calculated density at 6.322 g/cm3.

a = 5.482 Å, b = 5.482 Å, c = 5.665 Å
α = 90.00°, β = 90.00°, γ = 90.00°
Atoms (fractional coordinates):
Sb1 0.000 0.500 0.000
Sb2 0.500 0.000 0.000
Te1 0.000 0.000 0.500
Au1 0.500 0.500 0.500
Br1 0.000 0.000 0.000

=====

Q:
The following is a DFT calculation (PBE) of a geometry-optimized Sb2TeAuBr structure.

The calculation puts the calculated density at 6.557 g/cm3.

a = 5.518 Å, b = 5.518 Å, c = 5.389 Å
α = 90.00°, β = 90.00°, γ = 90.00°
Atoms (fractional coordinates):
Sb1 0.000 0.500 0.000
Sb2 0.500 0.000 0.000
Te1 0.000 0.000 0.500
Au1 0.000 0.000 0.000
Br1 0.500 0.500 0.500

=====

What should be chosen as the least stable of them? Choose P.

=====

P:
The following is a DFT calculation (PBE) of a geometry-optimized ScAuBr2 structure.

The calculation puts the calculated density at 4.702 g/cm3.

a = 3.763 Å, b = 7.421 Å, c = 7.418 Å
α = 43.22°, β = 90.00°, γ = 90.00°
Atoms (fractional coordinates):
Au1 0.500 0.750 0.750
Br1 0.000 0.115 0.115
Br2 0.000 0.385 0.385
Sc1 0.500 0.250 0.250

=====

Q:
The following is a DFT calculation (PBE) of a geometry-optimized ScAuBr2 structure.

The calculation puts the calculated density at 5.797 g/cm3.

a = 3.593 Å, b = 3.948 Å, c = 8.338 Å
α = 76.63°, β = 90.00°, γ = 90.00°
Atoms (fractional coordinates):
Au1 0.500 0.709 0.709
Br1 0.000 0.118 0.896
Br2 0.500 0.396 0.326
Sc1 0.000 0.277 0.569

=====

What should be chosen as the least stable of them? Choose P.

=====

P:
The following is a DFT calculation (PBE) of a geometry-optimized ScAuBr2 structure.

The calculation puts the calculated density at 6.305 g/cm3.

a = 3.567 Å, b = 3.567 Å, c = 8.314 Å
α = 90.00°, β = 90.00°, γ = 90.03°
Atoms (fractional coordinates):
Au1 0.500 0.500 0.717
Br1 0.000 0.000 0.900
Br2 0.500 0.500 0.329
Sc1 0.000 0.000 0.555

=====

Q:
The following is a DFT calculation (PBE) of a geometry-optimized ScAuBr2 structure.

The calculation puts the calculated density at 6.219 g/cm3.

a = 3.262 Å, b = 3.262 Å, c = 10.084 Å
α = 90.00°, β = 90.00°, γ = 90.00°
Atoms (fractional coordinates):
Au1 0.500 0.500 0.750
Br1 0.000 0.000 0.086
Br2 0.000 0.000 0.414
Sc1 0.500 0.500 0.250

=====

R:
The following is a DFT calculation (PBE) of a geometry-optimized ScAuBr2 structure.

The calculation puts the calculated density at 5.007 g/cm3.

a = 6.361 Å, b = 6.361 Å, c = 7.464 Å
α = 58.48°, β = 58.48°, γ = 31.71°
Atoms (fractional coordinates):
Au1 0.190 0.190 0.292
Br1 0.965 0.965 0.134
Br2 0.849 0.849 0.693
Sc1 0.496 0.496 0.381

=====

What should be chosen as the least stable of them? Choose Q.

=====

P:
The following is a DFT calculation (PBE) of a geometry-optimized ScAuBr2 structure.

The calculation puts the calculated density at 7.509 g/cm3.

a = 4.061 Å, b = 4.677 Å, c = 4.677 Å
α = 90.00°, β = 90.00°, γ = 90.00°
Atoms (fractional coordinates):
Au1 0.500 0.000 0.500
Br1 0.000 0.000 0.000
Br2 0.000 0.500 0.500
Sc1 0.500 0.500 0.000

=====

Q:
The following is a DFT calculation (PBE) of a geometry-optimized ScAuBr2 structure.

The calculation puts the calculated density at 5.871 g/cm3.

a = 9.052 Å, b = 9.052 Å, c = 9.052 Å
α = 24.67°, β = 24.67°, γ = 24.67°
Atoms (fractional coordinates):
Sc1 0.000 0.000 0.000
Au1 0.500 0.500 0.500
Br1 0.902 0.902 0.902
Br2 0.098 0.098 0.098

=====

R:
The following is a DFT calculation (PBE) of a geometry-optimized ScAuBr2 structure.

The calculation puts the calculated density at 6.917 g/cm3.

a = 5.660 Å, b = 5.709 Å, c = 3.748 Å
α = 69.78°, β = 92.00°, γ = 120.48°
Each line ends with the local moment (μB).
Atoms (fractional coordinates):
Au1 0.500 0.500 0.000  0.01
Br1 0.000 0.000 0.000  0.00
Br2 0.500 0.000 0.500  0.00
Sc1 0.000 0.500 0.500  0.37

=====

S:
The following is a DFT calculation (PBE) of a geometry-optimized ScAuBr2 structure.

The calculation puts the calculated density at 5.446 g/cm3.

a = 7.751 Å, b = 7.751 Å, c = 7.751 Å
α = 154.52°, β = 142.18°, γ = 46.16°
Atoms (fractional coordinates):
Au1 0.250 0.750 0.500
Br1 0.894 0.894 0.000
Br2 0.606 0.606 0.000
Sc1 0.750 0.250 0.500

=====

What should be chosen as the least stable of them? Choose Q.